Ho6Zn2Ag: optimized geometry, GGA-PBE.

a = 4.933 Å, b = 4.933 Å, c = 21.096 Å
α = 90.00°, β = 90.00°, γ = 90.00°
Space group I4/mmm (No. 139)
Asymmetric unit:
Ho 0.000 0.500 0.086
Ho 0.000 0.500 0.250
Zn 0.000 0.000 0.167
Ag 0.000 0.000 0.500

Computed properties:
ΔE to the lowest computed polymorph (eV per atom): 0.204
E_form (eV/atom): 0.0210
Total magnetization (μB/cell): 0.00
DOS(E_F) (states/eV per atom): 1.13



HoZnAg2: optimized geometry, GGA-PBE.

a = 7.683 Å, b = 7.554 Å, c = 5.524 Å
α = 90.00°, β = 90.00°, γ = 90.00°
Space group Pnma (No. 62)
Asymmetric unit:
Ho 0.041 0.250 0.134
Zn 0.114 0.750 0.371
Ag 0.183 0.054 0.597

Computed properties:
E_form (eV/atom): -0.2618
Total magnetization (μB/cell): 0.00
DOS(E_F) (states/eV per atom): 0.42



HoZn2Ag6: optimized geometry, GGA-PBE.

a = 10.551 Å, b = 9.818 Å, c = 7.745 Å
α = 90.00°, β = 122.29°, γ = 90.00°
Space group C2/c (No. 15)
Asymmetric unit:
Ho 0.000 0.108 0.250
Zn 0.088 0.376 0.037
Ag 0.111 0.165 0.687
Ag 0.158 0.374 0.444
Ag 0.212 0.106 0.106

Computed properties:
E_form (eV/atom): -0.0708
Total magnetization (μB/cell): 0.00
DOS(E_F) (states/eV per atom): 0.36



Ho6ZnAg3: optimized geometry, GGA-PBE.

a = 8.961 Å, b = 5.049 Å, c = 11.567 Å
α = 90.00°, β = 106.07°, γ = 90.00°
Space group P2_1/m (No. 11)
Asymmetric unit:
Ho 0.004 0.250 0.111
Ho 0.162 0.250 0.699
Ho 0.243 0.750 0.515
Ho 0.358 0.750 0.120
Ho 0.364 0.250 0.345
Ho 0.386 0.750 0.843
Zn 0.448 0.250 0.623
Ag 0.037 0.250 0.382
Ag 0.139 0.750 0.253
Ag 0.275 0.250 0.972

Computed properties:
E_form (eV/atom): -0.2030
Total magnetization (μB/cell): 0.00
DOS(E_F) (states/eV per atom): 0.83



HoZn5Ag7: optimized geometry, GGA-PBE.

a = 10.650 Å, b = 9.266 Å, c = 5.239 Å
α = 90.00°, β = 118.48°, γ = 90.00°
Space group Cm (No. 8)
Asymmetric unit:
Ho 0.000 0.000 0.000
Zn 0.244 0.252 0.493
Zn 0.244 0.252 0.995
Zn 0.276 0.500 0.277
Ag 0.157 0.500 0.661
Ag 0.216 0.000 0.716
Ag 0.348 0.000 0.344
Ag 0.492 0.296 0.493
Ag 0.497 0.155 0.997

Computed properties:
E_form (eV/atom): -0.1380
Total magnetization (μB/cell): 0.00
DOS(E_F) (states/eV per atom): 0.33



HoZn2Ag3: optimized geometry, GGA-PBE.

a = 9.624 Å, b = 8.904 Å, c = 5.400 Å
α = 90.00°, β = 90.00°, γ = 90.00°
Space group Cmcm (No. 63)
Asymmetric unit:
Ho 0.000 0.156 0.250
Zn 0.244 0.500 0.000
Ag 0.000 0.496 0.750
Ag 0.165 0.234 0.750

Computed properties:
ΔE to the lowest computed polymorph (eV per atom): 0.056
E_form (eV/atom): -0.1387
Total magnetization (μB/cell): 0.00
DOS(E_F) (states/eV per atom): 0.62



HoZn2Ag5: optimized geometry, GGA-PBE.

a = 3.478 Å, b = 8.267 Å, c = 10.549 Å
α = 90.00°, β = 90.00°, γ = 90.00°
Space group Immm (No. 71)
Asymmetric unit:
Ho 0.000 0.000 0.000
Zn 0.000 0.500 0.258
Ag 0.000 0.214 0.363
Ag 0.000 0.500 0.000

Computed properties:
E_form (eV/atom): -0.1050
Total magnetization (μB/cell): 0.00
DOS(E_F) (states/eV per atom): 0.31



HoZn17Ag: optimized geometry, GGA-PBE.

a = 8.9108 Å, b = 8.9108 Å, c = 13.3371 Å
α = 90.00°, β = 90.00°, γ = 120.00°
Space group R3m (No. 160, hexagonal axes)
Asymmetric unit:
Ho 0.0000 0.0000 0.0000
Zn 0.0000 0.0000 0.2367
Zn 0.0000 0.0000 0.4359
Zn 0.0025 0.5012 0.4918
Zn 0.0057 0.5028 0.8271
Zn 0.0114 0.3175 0.3326
Zn 0.1688 0.3376 0.5141
Ag 0.0000 0.0000 0.7470

Computed properties:
E_form (eV/atom): -0.0923
Total magnetization (μB/cell): 0.00
DOS(E_F) (states/eV per atom): 0.32



HoZn3Ag: optimized geometry, GGA-PBE.

a = 4.701 Å, b = 6.240 Å, c = 6.244 Å
α = 90.00°, β = 90.00°, γ = 90.00°
Space group Imm2 (No. 44)
Asymmetric unit:
Ho 0.000 0.000 0.000
Zn 0.000 0.196 0.500
Zn 0.000 0.500 0.790
Ag 0.000 0.500 0.195

Computed properties:
E_form (eV/atom): -0.2421
Total magnetization (μB/cell): 0.00
DOS(E_F) (states/eV per atom): 0.44



HoZnAg: optimized geometry, GGA-PBE.

a = 3.595 Å, b = 3.595 Å, c = 9.626 Å
α = 90.00°, β = 90.00°, γ = 90.00°
Space group I4mm (No. 107)
Asymmetric unit:
Ho 0.000 0.000 0.000
Zn 0.000 0.000 0.676
Ag 0.000 0.000 0.314

Computed properties:
E_form (eV/atom): -0.2421
Total magnetization (μB/cell): 0.00
DOS(E_F) (states/eV per atom): 0.50



HoZn6Ag4: optimized geometry, GGA-PBE.

a = 7.4094 Å, b = 7.4094 Å, c = 4.1999 Å
α = 90.00°, β = 90.00°, γ = 120.00°
Space group P-6m2 (No. 187)
Asymmetric unit:
Ho 0.0000 0.0000 0.0000
Zn 0.2054 0.4109 0.5000
Zn 0.5386 0.0771 0.0000
Ag 0.3333 0.6667 0.0000
Ag 0.3937 0.1968 0.5000

Computed properties:
E_form (eV/atom): -0.0732
Total magnetization (μB/cell): 0.00
DOS(E_F) (states/eV per atom): 0.35



HoZnAg2: optimized geometry, GGA-PBE.

a = 3.412 Å, b = 3.412 Å, c = 6.854 Å
α = 90.00°, β = 90.00°, γ = 90.00°
Space group P4/mmm (No. 123)
Asymmetric unit:
Ho 0.000 0.000 0.000
Zn 0.000 0.000 0.500
Ag 0.500 0.500 0.285

Computed properties:
E_form (eV/atom): -0.1565
Total magnetization (μB/cell): 0.00
DOS(E_F) (states/eV per atom): 0.62



- Which of these has the lowest DOS(E_F)?
  HoZn2Ag5



Copy entry 6 word for word.
HoZn2Ag3: optimized geometry, GGA-PBE.

a = 9.624 Å, b = 8.904 Å, c = 5.400 Å
α = 90.00°, β = 90.00°, γ = 90.00°
Space group Cmcm (No. 63)
Asymmetric unit:
Ho 0.000 0.156 0.250
Zn 0.244 0.500 0.000
Ag 0.000 0.496 0.750
Ag 0.165 0.234 0.750

Computed properties:
ΔE to the lowest computed polymorph (eV per atom): 0.056
E_form (eV/atom): -0.1387
Total magnetization (μB/cell): 0.00
DOS(E_F) (states/eV per atom): 0.62